1.
Compound: YFe2Pt
Source: Alexandria via LeMat-Bulk
Functional: PBE
Structure: relaxed

Unit cell a=3.904 b=3.904 c=8.828 alpha=90.00 beta=90.00 gamma=90.00
Space group I4/mmm (No. 139)
Asymmetric unit:
Y  0.000  0.000  0.000 x2
Fe  0.000  0.500  0.250 x4
Pt  0.000  0.000  0.500 x2

Values from the calculation:
- D(E_F) (states/eV per atom) = 0.85
- total magnetization (μB per formula unit) = 5.36
- energy relative to the elements (eV/atom) = -0.16
- volume (Å³/f.u.) = 67
- density (g cm⁻³) = 9.77

=====

2.
Compound: BaTaTl2
Source: Alexandria via LeMat-Bulk
Functional: PBE
Structure: relaxed

Unit cell a=9.552 b=3.324 c=7.449 alpha=90.00 beta=96.39 gamma=90.00
Space group C2/m (No. 12)
Asymmetric unit:
Ba  0.000  0.000  0.000 x2
Ta  0.000  0.500  0.500 x2
Tl  0.242  0.000  0.690 x4

Values from the calculation:
- D(E_F) (states/eV per atom) = 0.90
- total magnetization (μB per formula unit) = 0.00
- energy relative to the elements (eV/atom) = 0.47
- volume (Å³/f.u.) = 118
- density (g cm⁻³) = 10.27

=====

3.
Compound: Tb6Tc2Ag
Source: Alexandria via LeMat-Bulk
Functional: PBE
Structure: relaxed

Unit cell a=9.577 b=9.637 c=10.210 alpha=90.00 beta=90.00 gamma=90.00
Space group Immm (No. 71)
Asymmetric unit:
Tb  0.000  0.207  0.185 x8
Tb  0.189  0.216  0.500 x8
Tb  0.207  0.500  0.272 x8
Tc  0.000  0.000  0.382 x4
Tc  0.128  0.000  0.000 x4
Ag  0.000  0.500  0.000 x2
Ag  0.000  0.500  0.500 x2

Values from the calculation:
- D(E_F) (states/eV per atom) = 0.99
- total magnetization (μB per formula unit) = 0.00
- energy relative to the elements (eV/atom) = -0.10
- volume (Å³/f.u.) = 236
- density (g cm⁻³) = 8.86

=====

4.
Compound: LiCa2C2O6
Source: Alexandria via LeMat-Bulk
Functional: PBE
Structure: relaxed

Unit cell a=8.816 b=4.972 c=6.072 alpha=90.00 beta=118.89 gamma=90.00
Space group C2/m (No. 12)
Asymmetric unit:
Li  0.000  0.000  0.000 x2
Ca  0.206  0.000  0.704 x4
C  0.043  0.500  0.777 x4
O  0.043  0.268  0.297 x8
O  0.211  0.500  0.850 x4

Values from the calculation:
- D(E_F) (states/eV per atom) = 0.17
- total magnetization (μB per formula unit) = 0.67
- formation energy (no corrections) (meV/atom) = -1966.7
- volume (Å³/f.u.) = 117
- density (g cm⁻³) = 2.95

=====

What is the formula in the fourth record?
LiCa2C2O6